Record 1
VASP calculation (PBEsol) on a geometry-optimized HfPbO3 structure.

Calculated values
For the uncorrected energy, the calculation gives -8.6100 eV/atom. For the uncorrected formation energy, the calculation gives -2.5601 eV/atom.

a = 4.107 Å, b = 4.107 Å, c = 4.107 Å
α = 90.00°, β = 90.00°, γ = 90.00°
Space group Pm-3m (No. 221)
Unique sites:
Hf 0.000 0.000 0.000 [1 per cell]
Pb 0.500 0.500 0.500 [1 per cell]
O 0.000 0.000 0.500 [3 per cell]

---

Record 2
VASP calculation (PBEsol) on a geometry-optimized Sc2IrRh structure.

Calculated values
For the uncorrected energy, the calculation gives -8.4603 eV/atom. The value obtained for the formation energy is -667 meV/atom. The energy above the most stable polymorph in this dataset comes out at 349 meV per atom.

a = 2.989 Å, b = 4.252 Å, c = 5.304 Å
α = 90.00°, β = 90.00°, γ = 90.00°
Space group Pmm2 (No. 25)
Unique sites:
Sc 0.000 0.000 0.000 [1 per cell]
Sc 0.500 0.500 0.353 [1 per cell]
Ir 0.000 0.000 0.500 [1 per cell]
Rh 0.500 0.500 0.848 [1 per cell]

---

Record 3
VASP calculation (PBEsol) on a geometry-optimized YFeSb2Te structure.

Calculated values
For the uncorrected energy, the calculation gives -5.7253 eV/atom. For the uncorrected formation energy, the calculation gives -0.0400 eV/atom.

a = 4.735 Å, b = 4.735 Å, c = 5.581 Å
α = 90.00°, β = 90.00°, γ = 90.00°
Space group P4/mmm (No. 123)
Unique sites:
Y 0.000 0.000 0.000 [1 per cell]
Fe 0.500 0.500 0.500 [1 per cell]
Sb 0.000 0.500 0.500 [2 per cell]
Te 0.500 0.500 0.000 [1 per cell]

---

Repeat the third record exactly.
VASP calculation (PBEsol) on a geometry-optimized YFeSb2Te structure.

Calculated values
For the uncorrected energy, the calculation gives -5.7253 eV/atom. For the uncorrected formation energy, the calculation gives -0.0400 eV/atom.

a = 4.735 Å, b = 4.735 Å, c = 5.581 Å
α = 90.00°, β = 90.00°, γ = 90.00°
Space group P4/mmm (No. 123)
Unique sites:
Y 0.000 0.000 0.000 [1 per cell]
Fe 0.500 0.500 0.500 [1 per cell]
Sb 0.000 0.500 0.500 [2 per cell]
Te 0.500 0.500 0.000 [1 per cell]